Material: Sr4Hg2P
Method: DFT, PBE
State: optimized geometry

## Properties
SG ... No. 139
Total moment ... 0.000 μB per atom
Raw total energy ... -2.34 eV/atom
Formation energy from the elements ... -0.52 eV per atom

```
Sr4Hg2P
1.0
5.834 0.000 0.000
0.000 5.834 0.000
2.917 2.917 8.220
Sr Hg P
4 2 1
Cartesian
5.834 5.834 3.003
2.917 2.917 5.217
0.000 2.917 0.000
2.917 0.000 0.000
5.834 5.834 6.298
2.917 2.917 1.922
0.000 0.000 0.000
```

=====

Material: LaSm5Y2Sc
Method: DFT, PBE
State: optimized geometry

## Properties
SG ... No. 36
Total moment ... 0.000 μB per atom
Raw total energy ... -5.14 eV/atom
Formation energy from the elements ... 0.17 eV per atom

```
LaSm5Y2Sc
1.0
5.687 0.000 0.000
-2.844 9.986 0.000
0.000 0.000 10.497
La Sm Y Sc
2 10 4 2
Cartesian
2.844 1.706 10.043
0.000 8.280 4.794
0.000 7.514 0.199
2.843 4.431 8.624
0.000 9.677 7.779
0.000 5.943 7.402
2.843 9.594 5.458
2.844 2.471 5.448
0.000 5.554 3.375
2.844 0.309 2.530
2.844 4.043 2.154
0.000 0.392 0.209
2.844 7.750 8.550
0.000 2.294 7.693
0.000 2.236 3.302
2.844 7.692 2.445
2.844 6.047 5.389
0.000 3.939 0.140
```

=====

Material: TiV2H
Method: DFT, PBE
State: optimized geometry

## Properties
Energy above the most stable polymorph in this dataset ... 0.00 kcal/mol of atoms
SG ... No. 4
Total moment ... 0.000 μB per atom
Raw total energy ... -7.51 eV/atom

```
TiV2H
1.0
3.026 0.000 -0.005
0.000 3.026 0.000
0.005 0.000 9.909
Ti V H
2 4 2
Cartesian
0.761 1.016 5.994
2.270 2.529 3.911
2.276 2.532 7.733
0.755 1.019 2.172
2.269 2.535 0.753
0.762 1.022 9.151
0.757 1.015 4.037
2.274 2.528 5.867
```

=====

Material: ReAsP2Se
Method: DFT, PBE
State: optimized geometry

## Properties
SG ... No. 123
Uncorrected formation energy ... 1.6583 eV per atom
Total moment ... 0.000 μB per atom
Raw total energy ... -4.62 eV/atom

```
ReAsP2Se
1.0
-3.531 2.340 2.203
-3.095 -2.472 -2.335
-0.004 -3.276 3.473
Re As Se P
1 1 1 2
Cartesian
-1.548 -1.236 -1.168
-3.315 -1.704 1.670
0.000 0.000 0.000
-0.002 -1.638 1.737
-1.765 1.170 1.101
```